! YMg14Sc, optimized geometry, DFT GGA-PBE; values from VASP
! - Space-group type: P4/mmm
! - Size of the total moment: 0.00 μB per atom
! - Electronic total energy: -2.217 eV per atom
! - Volume: 23.40 A^3/atom
! - E_form: -34 kJ/mol of formula units
&SYSTEM
  ibrav = 0, nat = 16, ntyp = 3
/
ATOMIC_SPECIES
Y 88.91 Y.upf
Mg 24.30 Mg.upf
Sc 44.96 Sc.upf
CELL_PARAMETERS angstrom
6.8997 0.0000 0.0000
0.0000 6.8997 0.0000
0.0000 0.0000 7.8640
ATOMIC_POSITIONS crystal
Y 0.0000 0.0000 0.0000
Mg 0.0000 0.0000 0.5000
Mg 0.0000 0.5000 0.0000
Mg 0.0000 0.5000 0.5000
Mg 0.2552 0.2552 0.2560
Mg 0.2552 0.2552 0.7440
Mg 0.2552 0.7448 0.2560
Mg 0.2552 0.7448 0.7440
Mg 0.5000 0.0000 0.0000
Mg 0.5000 0.0000 0.5000
Mg 0.5000 0.5000 0.5000
Mg 0.7448 0.2552 0.2560
Mg 0.7448 0.2552 0.7440
Mg 0.7448 0.7448 0.2560
Mg 0.7448 0.7448 0.7440
Sc 0.5000 0.5000 0.0000

! YMgSc2, optimized geometry, DFT GGA-PBE; values from VASP
! - Space-group type: Pm
! - Size of the total moment: 0.13 μB per atom
! - Electronic total energy: -5.147 eV per atom
! - Volume: 26.20 A^3/atom
! - E_form: 13 kJ/mol of formula units
&SYSTEM
  ibrav = 0, nat = 4, ntyp = 3
/
ATOMIC_SPECIES
Y 88.91 Y.upf
Mg 24.30 Mg.upf
Sc 44.96 Sc.upf
CELL_PARAMETERS angstrom
3.4186 0.0000 0.0000
0.0000 4.5434 0.0000
-0.0153 0.0000 6.7473
ATOMIC_POSITIONS crystal
Y 0.0000 0.0000 0.0000
Mg 0.4984 0.5000 0.7366
Sc 0.0003 0.0000 0.4898
Sc 0.5003 0.5000 0.2625

! YMgSc2, optimized geometry, DFT GGA-PBE; values from VASP
! - Space-group type: R-3m
! - Size of the total moment: 0.00 μB per atom
! - Electronic total energy: -5.127 eV per atom
! - Volume: 26.21 A^3/atom
! - E_form: 21 kJ/mol of formula units
&SYSTEM
  ibrav = 0, nat = 4, ntyp = 3
/
ATOMIC_SPECIES
Y 88.91 Y.upf
Mg 24.30 Mg.upf
Sc 44.96 Sc.upf
CELL_PARAMETERS angstrom
1.6736 0.9663 10.8069
-1.6736 0.9663 10.8069
0.0000 -1.9325 10.8069
ATOMIC_POSITIONS crystal
Y 0.0000 0.0000 0.0000
Mg 0.5000 0.5000 0.5000
Sc 0.2467 0.2467 0.2467
Sc 0.7533 0.7533 0.7533

! YMg4Sc, optimized geometry, DFT GGA-PBE; values from VASP
! - Space-group type: C2/m
! - Size of the total moment: 0.06 μB per atom
! - Electronic total energy: -3.234 eV per atom
! - Volume: 24.64 A^3/atom
! - E_form: -22 kJ/mol of formula units
&SYSTEM
  ibrav = 0, nat = 6, ntyp = 3
/
ATOMIC_SPECIES
Y 88.91 Y.upf
Mg 24.30 Mg.upf
Sc 44.96 Sc.upf
CELL_PARAMETERS angstrom
6.8171 -1.6730 0.0000
6.8171 1.6730 0.0000
-1.6250 0.0000 6.4825
ATOMIC_POSITIONS crystal
Y 0.0000 0.0000 0.0000
Mg 0.3262 0.3262 0.1714
Mg 0.3303 0.3303 0.6570
Mg 0.6697 0.6697 0.3430
Mg 0.6738 0.6738 0.8286
Sc 0.0000 0.0000 0.5000

! Y2Mg5Sc, optimized geometry, DFT GGA-PBE; values from VASP
! - Space-group type: I4/mmm
! - Size of the total moment: 0.03 μB per atom
! - Electronic total energy: -3.470 eV per atom
! - Volume: 25.15 A^3/atom
! - E_form: -51 kJ/mol of formula units
&SYSTEM
  ibrav = 0, nat = 8, ntyp = 3
/
ATOMIC_SPECIES
Y 88.91 Y.upf
Mg 24.30 Mg.upf
Sc 44.96 Sc.upf
CELL_PARAMETERS angstrom
-2.5625 2.5625 7.6605
2.5625 -2.5625 7.6605
2.5625 2.5625 -7.6605
ATOMIC_POSITIONS crystal
Y 0.2454 0.2454 0.0000
Y 0.7546 0.7546 0.0000
Mg 0.0000 0.0000 0.0000
Mg 0.1137 0.6137 0.5000
Mg 0.3863 0.8863 0.5000
Mg 0.6137 0.1137 0.5000
Mg 0.8863 0.3863 0.5000
Sc 0.5000 0.5000 0.0000

! Y2MgSc, optimized geometry, DFT GGA-PBE; values from VASP
! - Space-group type: Immm
! - Size of the total moment: 0.00 μB per atom
! - Electronic total energy: -5.182 eV per atom
! - Volume: 28.02 A^3/atom
! - E_form: 12 kJ/mol of formula units
&SYSTEM
  ibrav = 0, nat = 4, ntyp = 3
/
ATOMIC_SPECIES
Y 88.91 Y.upf
Mg 24.30 Mg.upf
Sc 44.96 Sc.upf
CELL_PARAMETERS angstrom
-1.9414 2.6231 5.5018
1.9414 -2.6231 5.5018
1.9414 2.6231 -5.5018
ATOMIC_POSITIONS crystal
Y 0.2293 0.2293 0.0000
Y 0.7707 0.7707 0.0000
Mg 0.0000 0.5000 0.5000
Sc 0.5000 0.0000 0.5000